Compound: Cs3LiHg2F9
Source: Alexandria via LeMat-Bulk
Functional: GGA-PBE
Structure: relaxed

crystal system	trigonal
magnetization	0.8	μB/cell

abc: 6.372 6.372 7.832
angles: 90.00 90.00 120.00
Element x y z (fractional)
Cs: 0.333 0.667 0.657
Cs: 0.000 0.000 0.000
Cs: 0.667 0.333 0.343
Li: 0.000 0.000 0.500
Hg: 0.333 0.667 0.180
Hg: 0.667 0.333 0.820
F: 0.838 0.162 0.664
F: 0.838 0.676 0.664
F: 0.324 0.162 0.664
F: 0.676 0.838 0.336
F: 0.162 0.324 0.336
F: 0.162 0.838 0.336
F: 0.500 0.000 0.000
F: 0.000 0.500 0.000
F: 0.500 0.500 0.000

***

Compound: Cs3MgHg2F9
Source: Alexandria via LeMat-Bulk
Functional: GGA-PBE
Structure: relaxed

crystal system	trigonal
magnetization	0.0	μB/cell

abc: 6.365 6.365 7.831
angles: 90.00 90.00 120.00
Element x y z (fractional)
Cs: 0.333 0.667 0.671
Cs: 0.000 0.000 0.000
Cs: 0.667 0.333 0.329
Mg: 0.000 0.000 0.500
Hg: 0.333 0.667 0.186
Hg: 0.667 0.333 0.814
F: 0.847 0.153 0.650
F: 0.847 0.694 0.650
F: 0.306 0.153 0.650
F: 0.694 0.847 0.350
F: 0.153 0.306 0.350
F: 0.153 0.847 0.350
F: 0.500 0.000 0.000
F: 0.000 0.500 0.000
F: 0.500 0.500 0.000

***

In the order shown, the computed energy relative to the elements, uncorrected values come out to -2.122, -2.411 eV/atom.
In the order shown, the computed raw total energy values come out to -3.584, -3.851 eV/atom.